# 1
Computed, not measured: a relaxed structure of Pr2Ir2O7 at the PBE level of DFT.

N(E_F) ... 11.1 states/eV/cell
Space group ... Fd-3m (227)

Lattice parameters (Å, degrees): 7.435 7.435 7.435 60.00 60.00 60.00
Fractional coordinates of all 22 atoms:
O  0.956  0.544  0.956
O  0.294  0.706  0.294
O  0.000  0.000  0.000
O  0.706  0.294  0.294
O  0.544  0.956  0.956
O  0.956  0.544  0.544
O  0.706  0.294  0.706
O  0.250  0.250  0.250
O  0.294  0.294  0.706
O  0.294  0.706  0.706
O  0.956  0.956  0.544
O  0.544  0.544  0.956
O  0.706  0.706  0.294
O  0.544  0.956  0.544
Pr  0.125  0.125  0.625
Pr  0.625  0.125  0.125
Pr  0.125  0.625  0.125
Pr  0.125  0.125  0.125
Ir  0.625  0.625  0.125
Ir  0.625  0.125  0.625
Ir  0.625  0.625  0.625
Ir  0.125  0.625  0.625

***

# 2
Computed, not measured: a relaxed structure of Pr6IrO12 at the PBE level of DFT.

Space group ... R-3 (148)

Lattice parameters (Å, degrees): 6.783 6.783 6.783 98.49 98.49 98.49
Each line ends with the local moment (μB).
Fractional coordinates of all 19 atoms:
O  0.822  0.559  0.407  0.02
O  0.559  0.407  0.822  0.02
O  0.066  0.968  0.288  0.16
O  0.288  0.066  0.968  0.16
O  0.441  0.593  0.178  0.02
O  0.178  0.441  0.593  0.02
O  0.032  0.712  0.934  0.16
O  0.712  0.934  0.032  0.16
O  0.593  0.178  0.441  0.02
O  0.968  0.288  0.066  0.16
O  0.407  0.822  0.559  0.02
O  0.934  0.032  0.712  0.16
Pr  0.389  0.692  0.856  0.01
Pr  0.611  0.308  0.144  0.01
Pr  0.692  0.856  0.389  0.01
Pr  0.144  0.611  0.308  0.01
Pr  0.308  0.144  0.611  0.01
Pr  0.856  0.389  0.692  0.01
Ir  0.000  0.000  0.000  1.55

***

# 3
Computed, not measured: a relaxed structure of Pr12Ir3O5 at the PBE level of DFT.

N(E_F) ... 76.1 states/eV/cell
Space group ... Ia-3d (230)

Lattice parameters (Å, degrees): 13.729 13.729 13.729 109.47 109.47 109.47
Fractional coordinates of all 80 atoms:
Pr  0.025  0.619  0.708
Pr  0.475  0.683  0.095
Pr  0.912  0.095  0.619
Pr  0.381  0.975  0.792
Pr  0.025  0.405  0.817
Pr  0.817  0.912  0.292
Pr  0.412  0.292  0.317
Pr  0.525  0.317  0.905
Pr  0.292  0.412  0.817
Pr  0.405  0.025  0.317
Pr  0.708  0.119  0.025
Pr  0.119  0.412  0.095
Pr  0.183  0.095  0.975
Pr  0.183  0.088  0.708
Pr  0.792  0.475  0.381
Pr  0.595  0.975  0.683
Pr  0.817  0.905  0.025
Pr  0.095  0.912  0.119
Pr  0.119  0.708  0.525
Pr  0.588  0.881  0.405
Pr  0.208  0.525  0.619
Pr  0.975  0.595  0.183
Pr  0.588  0.708  0.683
Pr  0.088  0.905  0.381
Pr  0.912  0.817  0.792
Pr  0.208  0.683  0.088
Pr  0.317  0.525  0.405
Pr  0.381  0.405  0.088
Pr  0.317  0.792  0.412
Pr  0.412  0.119  0.595
Pr  0.292  0.881  0.975
Pr  0.475  0.792  0.881
Pr  0.881  0.588  0.905
Pr  0.405  0.381  0.588
Pr  0.619  0.025  0.208
Pr  0.525  0.208  0.119
Pr  0.095  0.183  0.475
Pr  0.595  0.619  0.412
Pr  0.708  0.588  0.183
Pr  0.792  0.317  0.912
Pr  0.905  0.817  0.525
Pr  0.088  0.183  0.208
Pr  0.881  0.292  0.475
Pr  0.905  0.088  0.881
Pr  0.619  0.595  0.912
Pr  0.683  0.208  0.588
Pr  0.683  0.475  0.595
Pr  0.975  0.381  0.292
O  0.375  0.250  0.125
O  0.625  0.750  0.875
O  0.000  0.000  0.500
O  0.125  0.375  0.250
O  0.500  0.000  0.000
O  0.375  0.125  0.750
O  0.875  0.625  0.750
O  0.625  0.875  0.250
O  0.875  0.250  0.625
O  0.500  0.500  0.000
O  0.000  0.500  0.500
O  0.000  0.000  0.000
O  0.000  0.500  0.000
O  0.500  0.000  0.500
O  0.250  0.375  0.625
O  0.750  0.125  0.875
O  0.250  0.875  0.125
O  0.750  0.625  0.375
O  0.125  0.750  0.375
O  0.500  0.500  0.500
Ir  0.875  0.750  0.125
Ir  0.375  0.625  0.250
Ir  0.250  0.125  0.375
Ir  0.625  0.375  0.750
Ir  0.750  0.375  0.125
Ir  0.750  0.875  0.625
Ir  0.375  0.750  0.625
Ir  0.250  0.625  0.875
Ir  0.625  0.250  0.375
Ir  0.875  0.125  0.250
Ir  0.125  0.875  0.750
Ir  0.125  0.250  0.875

***

# 4
Computed, not measured: a relaxed structure of PrIrO4 at the PBE level of DFT.

N(E_F) ... 1.1 states/eV/cell
Space group ... I4_1/a (88)
Energy above the most stable polymorph in this dataset ... 232 meV per atom

Lattice parameters (Å, degrees): 5.382 5.382 6.939 112.82 112.82 90.00
Fractional coordinates of all 12 atoms:
Ir  0.250  0.750  0.500
Ir  0.500  0.500  0.000
O  0.664  0.583  0.830
O  0.753  0.336  0.170
O  0.086  0.667  0.670
O  0.584  0.003  0.670
O  0.997  0.914  0.330
O  0.417  0.834  0.170
O  0.166  0.247  0.830
O  0.333  0.416  0.330
Pr  0.000  0.000  0.000
Pr  0.750  0.250  0.500

***

# 5
Computed, not measured: a relaxed structure of PrIr2O8 at the PBE level of DFT.

N(E_F) ... 5.9 states/eV/cell
Space group ... C2/m (12)

Lattice parameters (Å, degrees): 5.331 6.037 6.037 61.65 78.60 78.60
Fractional coordinates of all 11 atoms:
Ir  0.498  0.258  0.258
Ir  0.502  0.742  0.742
Pr  0.000  0.000  0.000
O  0.697  0.917  0.383
O  0.316  0.621  0.621
O  0.684  0.379  0.379
O  0.697  0.383  0.917
O  0.738  0.845  0.845
O  0.303  0.617  0.083
O  0.303  0.083  0.617
O  0.262  0.155  0.155

***

# 6
Computed, not measured: a relaxed structure of Pr4Ir6O19 at the PBE level of DFT.

N(E_F) ... 21.4 states/eV/cell
Space group ... I23 (197)

Lattice parameters (Å, degrees): 7.892 7.892 7.892 109.47 109.47 109.47
Each line ends with the local moment (μB).
Fractional coordinates of all 29 atoms:
Ir  0.156  0.656  0.500  0.12
Ir  0.844  0.344  0.500  0.12
Ir  0.344  0.500  0.844  0.12
Ir  0.500  0.156  0.656  0.12
Ir  0.500  0.844  0.344  0.12
Ir  0.656  0.500  0.156  0.12
O  0.302  0.957  0.689  0.01
O  0.957  0.689  0.302  0.01
O  0.733  0.043  0.346  0.01
O  0.654  0.698  0.387  0.01
O  0.346  0.733  0.043  0.01
O  0.665  0.000  0.665  0.01
O  0.043  0.346  0.733  0.01
O  0.665  0.665  0.000  0.01
O  0.689  0.302  0.957  0.01
O  0.000  0.000  0.000  0.00
O  0.000  0.665  0.665  0.01
O  0.335  0.335  0.000  0.01
O  0.267  0.613  0.311  0.01
O  0.613  0.311  0.267  0.01
O  0.311  0.267  0.613  0.01
O  0.000  0.335  0.335  0.01
O  0.387  0.654  0.698  0.01
O  0.698  0.387  0.654  0.01
O  0.335  0.000  0.335  0.01
Pr  0.689  0.000  0.000  0.00
Pr  0.000  0.000  0.689  0.00
Pr  0.000  0.689  0.000  0.00
Pr  0.311  0.311  0.311  0.00

***

| no. | total magnetic moment (μB/cell) | VASP energy (eV/atom) |
| --- | --- | --- |
| 1 | 0.005 | -7.5890 |
| 2 | 2.994 | -7.8982 |
| 3 | 0.000 | -6.9328 |
| 4 | 0.000 | -7.1553 |
| 5 | 0.002 | -6.7329 |
| 6 | 0.994 | -7.3685 |